Material: KBaNa2Li
Method: DFT, PBE
State: optimized geometry

Calculated values
Space group   P4/mmm, No. 123

Unit cell a=6.1177 b=6.1177 c=6.3206 alpha=90.00 beta=90.00 gamma=90.00
Atoms (fractional coordinates):
Li 0.0000 0.0000 0.0000
Na 0.0000 0.5000 0.0000
K 0.0000 0.0000 0.5000
Ba 0.5000 0.5000 0.5000
Na 0.5000 0.0000 0.0000

***

Material: KBaNa2Li
Method: DFT, PBE
State: optimized geometry

Calculated values
Space group   P4/mmm, No. 123

Unit cell a=6.1947 b=6.1947 c=6.6726 alpha=90.00 beta=90.00 gamma=90.00
Atoms (fractional coordinates):
Na 0.0000 0.5000 0.0000
Ba 0.0000 0.0000 0.5000
K 0.5000 0.5000 0.5000
Na 0.5000 0.0000 0.0000
Li 0.0000 0.0000 0.0000

***

| no. | total DFT energy (no corrections) (eV per atom) | spin magnetization (μB/atom) |
| --- | --- | --- |
| 1 | -1.35 | 0.00 |
| 2 | -1.34 | 0.00 |